(1)
# CsCaZnTe

A relaxed CsCaZnTe crystal (PBE-GGA, Alexandria).

Results
The value obtained for the calculated density is 3.6 g/cm3. The space group is No. 1. As for the crystal system: triclinic. The distance to the lowest polymorph of the same formula comes out at 0.226 eV per atom.

Cell: 4.8029 6.0317 6.3441 Å, 89.62 90.02 66.70°
Last column: magnetic moment on the atom in μB.
Fractional coordinates of all 4 atoms:
Ca  0.9041  0.8938  0.8452  0.08
Cs  0.1666  0.3682  0.3500  0.01
Te  0.5957  0.5093  0.8477  0.02
Zn  0.8746  0.9478  0.3434  0.08

(2)
# PmTiHgO4

A relaxed PmTiHgO4 crystal (PBE-GGA, Alexandria).

Results
The value obtained for the calculated density is 5.6 g/cm3. The space group is No. 12. As for the crystal system: monoclinic. The value obtained for the total energy is -7.2440 eV per atom.

Cell: 6.7728 6.7728 7.1913 Å, 79.80 79.80 57.37°
Fractional coordinates of all 14 atoms:
O  0.4692  0.8890  0.8672
O  0.5180  0.5180  0.2611
O  0.4820  0.4820  0.7389
O  0.7169  0.7169  0.4749
O  0.1110  0.5308  0.1328
O  0.2831  0.2831  0.5251
O  0.5308  0.1110  0.1328
O  0.8890  0.4692  0.8672
Pm  0.7057  0.7057  0.1384
Pm  0.2943  0.2943  0.8616
Ti  0.3677  0.3677  0.2711
Ti  0.6323  0.6323  0.7289
Hg  0.1067  0.1067  0.5129
Hg  0.8933  0.8933  0.4871